The following is a DFT calculation (PBE-GGA) of an optimized crystal structure of Ac4Tb3NdSe8.

Fermi-level density of states   0.542 states/eV/atom
Formation energy without anion corrections   -1815 meV/atom
Energy   -5.75 eV per atom

a b c (Å): 8.4575 8.4575 21.7465
angles (deg): 90.00 90.00 120.00
Space group R-3m (No. 166, hexagonal axes)
Asymmetric unit:
Ac: 0.0000 0.0000 0.0000
Ac: 0.0000 0.5000 0.0000
Tb: 0.0000 0.5000 0.5000
Nd: 0.0000 0.0000 0.5000
Se: 0.0000 0.0000 0.2405
Se: 0.0061 0.5030 0.7582